Entry 1:
{"formula": "Sr2Zr2B", "functional": "PBE", "state": "relaxed", "dft_energy_ry_per_atom": -0.286, "sg": "I4/mmm (139)", "total_magnetization_mub_per_fu": 0.00, "lattice": [[4.0399, 0.0000, 0.0000], [0.0000, 4.0399, 0.0000], [0.0000, 0.0000, 16.3472]], "species": ["Sr", "Sr", "Sr", "Sr", "Zr", "Zr", "Zr", "Zr", "B", "B"], "fractional_positions": [[0.0000, 0.5000, 0.2500], [0.0000, 0.5000, 0.7500], [0.5000, 0.0000, 0.2500], [0.5000, 0.0000, 0.7500], [0.0000, 0.0000, 0.0727], [0.0000, 0.0000, 0.9273], [0.5000, 0.5000, 0.4273], [0.5000, 0.5000, 0.5727], [0.0000, 0.0000, 0.5000], [0.5000, 0.5000, 0.0000]]}



Entry 2:
{"formula": "SrZrB3", "functional": "PBE", "state": "relaxed", "dft_energy_ry_per_atom": -0.378, "sg": "Pm-3m (221)", "total_magnetization_mub_per_fu": 0.00, "lattice": [[4.5572, 0.0000, 0.0000], [0.0000, 4.5572, 0.0000], [0.0000, 0.0000, 4.5572]], "species": ["Sr", "Zr", "B", "B", "B"], "fractional_positions": [[0.0000, 0.0000, 0.0000], [0.5000, 0.5000, 0.5000], [0.0000, 0.5000, 0.5000], [0.5000, 0.0000, 0.5000], [0.5000, 0.5000, 0.0000]]}



Question: Number 1 is which compound?
Answer: Sr2Zr2B